(1)
# Nd2InAs3Pt4 | Alexandria via LeMat-Bulk | GGA-PBE | relaxed
# energy of formation	-0.834	eV per atom
# uncorrected energy	-5.87	eV per atom
data_Nd2InAs3Pt4
_chemical_formula_sum 'Nd2 In1 As3 Pt4'
_cell_length_a 4.308
_cell_length_b 4.308
_cell_length_c 10.953
_cell_angle_alpha 90.00
_cell_angle_beta 90.00
_cell_angle_gamma 90.00
_space_group_name_H-M_alt 'P -4 m 2'
_space_group_IT_number 115
_space_group_name_Hall 'P -4 -2'
loop_
_atom_site_label
_atom_site_type_symbol
_atom_site_fract_x
_atom_site_fract_y
_atom_site_fract_z
Nd1 Nd 0.000 0.500 0.229
In1 In 0.000 0.000 0.500
As1 As 0.000 0.500 0.870
As2 As 0.500 0.500 0.500
Pt1 Pt 0.000 0.000 0.000
Pt2 Pt 0.000 0.500 0.648
Pt3 Pt 0.500 0.500 0.000

(2)
# Nd2InAs3Rh4 | Alexandria via LeMat-Bulk | GGA-PBE | relaxed
# energy of formation	-0.834	eV per atom
# uncorrected energy	-6.40	eV per atom
data_Nd2InAs3Rh4
_chemical_formula_sum 'Nd2 In1 As3 Rh4'
_cell_length_a 4.159
_cell_length_b 4.159
_cell_length_c 11.060
_cell_angle_alpha 90.00
_cell_angle_beta 90.00
_cell_angle_gamma 90.00
_space_group_name_H-M_alt 'P -4 m 2'
_space_group_IT_number 115
_space_group_name_Hall 'P -4 -2'
loop_
_atom_site_label
_atom_site_type_symbol
_atom_site_fract_x
_atom_site_fract_y
_atom_site_fract_z
Nd1 Nd 0.000 0.500 0.240
In1 In 0.000 0.000 0.500
As1 As 0.000 0.500 0.871
As2 As 0.500 0.500 0.500
Rh1 Rh 0.000 0.000 0.000
Rh2 Rh 0.000 0.500 0.654
Rh3 Rh 0.500 0.500 0.000

(3)
# Nd6InTe3As2 | Alexandria via LeMat-Bulk | GGA-PBE | relaxed
# ΔE_f (raw)	-15.81	eV/f.u.
# uncorrected energy	-5.49	eV per atom
data_Nd6InTe3As2
_chemical_formula_sum 'Nd12 In2 Te6 As4'
_cell_length_a 19.420
_cell_length_b 4.363
_cell_length_c 9.009
_cell_angle_alpha 90.00
_cell_angle_beta 104.16
_cell_angle_gamma 90.00
_space_group_name_H-M_alt 'C 1 2/m 1'
_space_group_IT_number 12
_space_group_name_Hall '-C 2y'
loop_
_atom_site_label
_atom_site_type_symbol
_atom_site_fract_x
_atom_site_fract_y
_atom_site_fract_z
Nd1 Nd 0.007 0.000 0.253
Nd2 Nd 0.167 0.500 0.103
Nd3 Nd 0.173 0.500 0.568
In1 In 0.000 0.500 0.000
Te1 Te 0.000 0.500 0.500
Te2 Te 0.165 0.000 0.831
As1 As 0.168 0.000 0.336

(4)
# InNi2As | Alexandria via LeMat-Bulk | GGA-PBE | relaxed
# energy of formation	0.299	eV per atom
# uncorrected energy	-4.44	eV per atom
data_InNi2As
_chemical_formula_sum 'In4 Ni8 As4'
_cell_length_a 6.297
_cell_length_b 6.297
_cell_length_c 6.297
_cell_angle_alpha 90.00
_cell_angle_beta 90.00
_cell_angle_gamma 90.00
_space_group_name_H-M_alt 'F -4 3 m'
_space_group_IT_number 216
_space_group_name_Hall 'F -4 2 3'
loop_
_atom_site_label
_atom_site_type_symbol
_atom_site_fract_x
_atom_site_fract_y
_atom_site_fract_z
In1 In 0.000 0.000 0.000
Ni1 Ni 0.000 0.000 0.500
Ni2 Ni 0.250 0.250 0.250
As1 As 0.250 0.250 0.750

(5)
# InNiAs | Alexandria via LeMat-Bulk | GGA-PBE | relaxed
# energy of formation	-0.153	eV per atom
# uncorrected energy	-4.54	eV per atom
data_InNiAs
_chemical_formula_sum 'In4 Ni4 As4'
_cell_length_a 6.136
_cell_length_b 6.320
_cell_length_c 6.344
_cell_angle_alpha 89.41
_cell_angle_beta 70.30
_cell_angle_gamma 74.06
_space_group_name_H-M_alt 'P 1'
_space_group_IT_number 1
_space_group_name_Hall 'P 1'
loop_
_atom_site_label
_atom_site_type_symbol
_atom_site_fract_x
_atom_site_fract_y
_atom_site_fract_z
In1 In 0.000 0.000 0.000
In2 In 0.029 0.450 0.812
In3 In 0.402 0.688 0.535
In4 In 0.450 0.471 0.030
Ni1 Ni 0.534 0.246 0.652
Ni2 Ni 0.674 0.775 0.119
Ni3 Ni 0.766 0.375 0.259
Ni4 Ni 0.924 0.847 0.640
As1 As 0.480 0.134 0.329
As2 As 0.510 0.930 0.845
As3 As 0.963 0.648 0.308
As4 As 0.964 0.183 0.497

(6)
# InNiAs | Alexandria via LeMat-Bulk | GGA-PBE | relaxed
# energy of formation	-0.040	eV per atom
# uncorrected energy	-4.43	eV per atom
data_InNiAs
_chemical_formula_sum 'In2 Ni2 As2'
_cell_length_a 3.012
_cell_length_b 3.012
_cell_length_c 12.408
_cell_angle_alpha 90.00
_cell_angle_beta 90.00
_cell_angle_gamma 90.00
_space_group_name_H-M_alt 'I 4 m m'
_space_group_IT_number 107
_space_group_name_Hall 'I 4 -2'
loop_
_atom_site_label
_atom_site_type_symbol
_atom_site_fract_x
_atom_site_fract_y
_atom_site_fract_z
In1 In 0.000 0.000 0.000
Ni1 Ni 0.000 0.000 0.338
As1 As 0.000 0.000 0.740

(7)
# In2NiAs2 | Alexandria via LeMat-Bulk | GGA-PBE | relaxed
# energy of formation	-0.063	eV per atom
# uncorrected energy	-4.17	eV per atom
data_In2NiAs2
_chemical_formula_sum 'In4 Ni2 As4'
_cell_length_a 6.052
_cell_length_b 6.052
_cell_length_c 5.933
_cell_angle_alpha 90.00
_cell_angle_beta 90.00
_cell_angle_gamma 90.00
_space_group_name_H-M_alt 'P 4/m b m'
_space_group_IT_number 127
_space_group_name_Hall '-P 4 2ab'
loop_
_atom_site_label
_atom_site_type_symbol
_atom_site_fract_x
_atom_site_fract_y
_atom_site_fract_z
In1 In 0.187 0.313 0.000
Ni1 Ni 0.000 0.000 0.500
As1 As 0.145 0.355 0.500

(8)
# InNi2As | Alexandria via LeMat-Bulk | GGA-PBE | relaxed
# energy of formation	-0.071	eV per atom
# uncorrected energy	-4.81	eV per atom
data_InNi2As
_chemical_formula_sum 'In3 Ni6 As3'
_cell_length_a 3.8633
_cell_length_b 3.8633
_cell_length_c 15.0222
_cell_angle_alpha 90.00
_cell_angle_beta 90.00
_cell_angle_gamma 120.00
_space_group_name_H-M_alt 'R 3 m'
_space_group_IT_number 160
_space_group_name_Hall 'R 3 -2"'
loop_
_atom_site_label
_atom_site_type_symbol
_atom_site_fract_x
_atom_site_fract_y
_atom_site_fract_z
In1 In 0.0000 0.0000 0.0000
Ni1 Ni 0.0000 0.0000 0.5655
Ni2 Ni 0.0000 0.0000 0.7831
As1 As 0.0000 0.0000 0.1823

(9)
# InNi2As | Alexandria via LeMat-Bulk | GGA-PBE | relaxed
# energy of formation	0.053	eV per atom
# uncorrected energy	-4.68	eV per atom
data_InNi2As
_chemical_formula_sum 'In2 Ni4 As2'
_cell_length_a 3.724
_cell_length_b 3.724
_cell_length_c 8.649
_cell_angle_alpha 90.00
_cell_angle_beta 90.00
_cell_angle_gamma 90.00
_space_group_name_H-M_alt 'I -4 m 2'
_space_group_IT_number 119
_space_group_name_Hall 'I -4 -2'
loop_
_atom_site_label
_atom_site_type_symbol
_atom_site_fract_x
_atom_site_fract_y
_atom_site_fract_z
In1 In 0.000 0.000 0.000
Ni1 Ni 0.000 0.000 0.500
Ni2 Ni 0.000 0.500 0.750
As1 As 0.000 0.500 0.250

(10)
# InNi2As | Alexandria via LeMat-Bulk | GGA-PBE | relaxed
# energy of formation	0.045	eV per atom
# uncorrected energy	-4.69	eV per atom
data_InNi2As
_chemical_formula_sum 'In3 Ni6 As3'
_cell_length_a 3.8917
_cell_length_b 3.8917
_cell_length_c 16.1520
_cell_angle_alpha 90.00
_cell_angle_beta 90.00
_cell_angle_gamma 120.00
_space_group_name_H-M_alt 'R 3 m'
_space_group_IT_number 160
_space_group_name_Hall 'R 3 -2"'
loop_
_atom_site_label
_atom_site_type_symbol
_atom_site_fract_x
_atom_site_fract_y
_atom_site_fract_z
In1 In 0.0000 0.0000 0.0000
Ni1 Ni 0.0000 0.0000 0.2348
Ni2 Ni 0.0000 0.0000 0.5263
As1 As 0.0000 0.0000 0.8113

(11)
# InNi2As2 | Alexandria via LeMat-Bulk | GGA-PBE | relaxed
# energy of formation	0.018	eV per atom
# uncorrected energy	-4.70	eV per atom
data_InNi2As2
_chemical_formula_sum 'In2 Ni4 As4'
_cell_length_a 7.368
_cell_length_b 7.368
_cell_length_c 3.013
_cell_angle_alpha 90.00
_cell_angle_beta 90.00
_cell_angle_gamma 90.00
_space_group_name_H-M_alt 'P 4/m b m'
_space_group_IT_number 127
_space_group_name_Hall '-P 4 2ab'
loop_
_atom_site_label
_atom_site_type_symbol
_atom_site_fract_x
_atom_site_fract_y
_atom_site_fract_z
In1 In 0.000 0.000 0.000
Ni1 Ni 0.126 0.374 0.000
As1 As 0.148 0.648 0.500

(12)
# InNiAs | Alexandria via LeMat-Bulk | GGA-PBE | relaxed
# energy of formation	-0.056	eV per atom
# uncorrected energy	-4.45	eV per atom
data_InNiAs
_chemical_formula_sum 'In1 Ni1 As1'
_cell_length_a 3.3774
_cell_length_b 3.3774
_cell_length_c 5.6325
_cell_angle_alpha 90.00
_cell_angle_beta 90.00
_cell_angle_gamma 120.00
_space_group_name_H-M_alt 'P 3 m 1'
_space_group_IT_number 156
_space_group_name_Hall 'P 3 -2"'
loop_
_atom_site_label
_atom_site_type_symbol
_atom_site_fract_x
_atom_site_fract_y
_atom_site_fract_z
In1 In 0.0000 0.0000 0.0000
Ni1 Ni 0.6667 0.3333 0.3381
As1 As 0.3333 0.6667 0.5707